Density functional theory data (PBE) for Zn2Ga2Pb3 after structural relaxation.

Output
The raw total energy comes out at -2.607 eV per atom. The volume comes out at 183.4 Å³ per cell. Its space-group type is R3m (160).

Structure (POSCAR):
```
Zn2Ga2Pb3
1.0
-7.1173 3.5176 3.5176
-3.5176 3.5176 7.1173
-3.5176 7.1173 3.5176
Ga Zn Pb
2 2 3
Cartesian
-0.1303 0.1303 0.1303
-7.0213 7.0213 7.0213
-10.6730 10.6730 10.6730
-3.4226 3.4226 3.4226
-8.8337 8.8337 8.8337
-5.3263 5.3263 5.3263
-12.3574 12.3574 12.3574
```

=====

Density functional theory data (PBE) for ZnGaPb2 after structural relaxation.

Output
The raw total energy comes out at -2.760 eV per atom. The volume comes out at 104.3 Å³ per cell. Its space-group type is F-43m (216).

Structure (POSCAR):
```
ZnGaPb2
1.0
1.2419 0.3731 5.1213
-3.8123 0.6226 3.6039
-1.1858 -3.9512 3.3002
Pb Ga Zn
2 1 1
Cartesian
0.0000 0.0000 0.0000
-0.9391 -0.7389 3.0064
-2.8172 -2.2166 9.0191
-1.8781 -1.4777 6.0128
```

=====

Density functional theory data (PBE) for ZnGaPb after structural relaxation.

Output
The raw total energy comes out at -2.485 eV per atom. The volume comes out at 73.7 Å³ per cell. Its space-group type is F-43m (216).

Structure (POSCAR):
```
ZnGaPb
1.0
0.0000 3.3284 3.3284
3.3284 0.0000 3.3284
3.3284 3.3284 0.0000
Pb Ga Zn
1 1 1
Cartesian
1.6642 1.6642 1.6642
0.0000 0.0000 0.0000
4.9926 4.9926 4.9926
```

=====

Density functional theory data (PBE) for ZnGaPb after structural relaxation.

Output
The raw total energy comes out at -2.393 eV per atom. The volume comes out at 78.7 Å³ per cell. Its space-group type is F-43m (216).

Structure (POSCAR):
```
ZnGaPb
1.0
0.0000 3.4009 3.4009
3.4009 0.0000 3.4009
3.4009 3.4009 0.0000
Pb Ga Zn
1 1 1
Cartesian
0.0000 0.0000 0.0000
1.7005 1.7005 1.7005
5.1014 5.1014 5.1014
```

=====

Question: raw total energy of number 1 (Zn2Ga2Pb3)?
Answer: -2.607 eV per atom